1.
Density functional theory data (PBE) for a geometry-optimized SrReCl2 structure.

Properties
Spin magnetization   3.01 μB/f.u.
Energy above the lowest structure with this stoichiometry   231 meV per atom
Energy   -4.4585 eV per atom
Volume   27.119 Å³ per atom
Formation energy without anion corrections   -1 kJ/mol of formula units

Cell: 13.554 3.377 4.905 Å, 90.00 104.92 90.00°
Space group Cm (No. 8)
Symmetry-distinct sites (fractional):
1 Sr 0.000 0.000 0.000 x2
2 Re 0.217 0.500 0.069 x2
3 Cl 0.283 0.000 0.809 x2
4 Cl 0.480 0.000 0.479 x2



2.
Density functional theory data (PBE) for a geometry-optimized Sr2ReCl structure.

Properties
Spin magnetization   0.00 μB/f.u.
Energy above the lowest structure with this stoichiometry   379 meV per atom
Energy   -4.1353 eV per atom
Volume   27.014 Å³ per atom
Formation energy without anion corrections   108 kJ/mol of formula units

Cell: 3.203 5.351 12.608 Å, 90.00 90.00 90.00°
Space group Imm2 (No. 44)
Symmetry-distinct sites (fractional):
1 Sr 0.000 0.000 0.000 x2
2 Sr 0.000 0.500 0.190 x2
3 Re 0.000 0.000 0.460 x2
4 Cl 0.000 0.500 0.711 x2



3.
Density functional theory data (PBE) for a geometry-optimized Sr2ReCl structure.

Properties
Spin magnetization   2.42 μB/f.u.
Energy above the lowest structure with this stoichiometry   448 meV per atom
Energy   -4.0663 eV per atom
Volume   32.639 Å³ per atom
Formation energy without anion corrections   134 kJ/mol of formula units

Cell: 7.981 7.981 8.198 Å, 90.00 90.00 90.00°
Space group I-42d (No. 122)
Symmetry-distinct sites (fractional):
1 Sr 0.235 0.250 0.125 x8
2 Re 0.000 0.000 0.500 x4
3 Cl 0.000 0.000 0.000 x4



4.
Density functional theory data (PBE) for a geometry-optimized SrReCl3 structure.

Properties
Spin magnetization   6.00 μB/f.u.
Energy above the lowest structure with this stoichiometry   134 meV per atom
Energy   -4.1882 eV per atom
Volume   35.781 Å³ per atom
Formation energy without anion corrections   -123 kJ/mol of formula units

Cell: 5.635 5.635 5.635 Å, 90.00 90.00 90.00°
Space group Pm-3m (No. 221)
Symmetry-distinct sites (fractional):
1 Sr 0.000 0.000 0.000 x1
2 Re 0.500 0.500 0.500 x1
3 Cl 0.000 0.000 0.500 x3